Density functional theory data (PBE) for crystalline BaCoTc2 at its relaxed geometry.

The structure in POSCAR format:
```
BaCoTc2
1.0
-1.9008 1.9008 5.3183
1.9008 -1.9008 5.3183
1.9008 1.9008 -5.3183
Ba Co Tc
1 1 2
Direct
0.0000 0.0000 0.0000
0.5000 0.5000 0.0000
0.2500 0.7500 0.5000
0.7500 0.2500 0.5000
```

The total magnetic moment comes out at 2.42 μB per formula unit. As for the space-group type: No. 139. For the energy above the most stable polymorph in this dataset, the calculation gives 87.45 kJ/mol of atoms. The energy relative to the elements comes out at 5.46 eV/f.u.

Density functional theory data (PBE) for crystalline YHfMg4 at its relaxed geometry.

The structure in POSCAR format:
```
YHfMg4
1.0
0.0000 4.1444 4.1444
4.1444 0.0000 4.1444
4.1444 4.1444 0.0000
Y Hf Mg
1 1 4
Direct
0.0000 0.0000 0.0000
0.2500 0.2500 0.2500
0.1271 0.6243 0.6243
0.6243 0.1271 0.6243
0.6243 0.6243 0.1271
0.6243 0.6243 0.6243
```

The total magnetic moment comes out at 1.97 μB per formula unit. As for the space-group type: No. 216. The energy relative to the elements comes out at 0.62 eV/f.u.

Density functional theory data (PBE) for crystalline LiDyGe2 at its relaxed geometry.

The structure in POSCAR format:
```
LiDyGe2
1.0
7.8410 0.0000 0.0000
0.0000 3.8738 0.0000
0.0000 0.0000 10.3493
Li Dy Ge
4 4 8
Direct
0.0186 0.2500 0.1035
0.4814 0.7500 0.6035
0.5186 0.2500 0.3965
0.9814 0.7500 0.8965
0.1342 0.7500 0.3615
0.3658 0.2500 0.8615
0.6342 0.7500 0.1385
0.8658 0.2500 0.6385
0.1509 0.7500 0.6899
0.2348 0.7500 0.0596
0.2652 0.2500 0.5596
0.3491 0.2500 0.1899
0.6509 0.7500 0.8101
0.7348 0.7500 0.4404
0.7652 0.2500 0.9404
0.8491 0.2500 0.3101
```

The total magnetic moment comes out at 0.00 μB per formula unit. As for the space-group type: No. 62. For the energy above the most stable polymorph in this dataset, the calculation gives 0.00 kJ/mol of atoms. The energy relative to the elements comes out at -2.48 eV/f.u.

Density functional theory data (PBE) for crystalline BaReSeBr2 at its relaxed geometry.

The structure in POSCAR format:
```
BaReSeBr2
1.0
5.3669 0.0000 0.0000
0.0000 5.3669 0.0000
0.0000 0.0000 4.8016
Ba Re Se Br
1 1 1 2
Direct
0.0000 0.0000 0.0000
0.5000 0.5000 0.5000
0.5000 0.5000 0.0000
0.0000 0.5000 0.5000
0.5000 0.0000 0.5000
```

The total magnetic moment comes out at 0.01 μB per formula unit. As for the space-group type: No. 123. The energy relative to the elements, uncorrected is -471.2 meV/atom. For the energy above the most stable polymorph in this dataset, the calculation gives 0.00 kJ/mol of atoms.

Density functional theory data (PBE) for crystalline NaY2Pt2 at its relaxed geometry.

The structure in POSCAR format:
```
NaY2Pt2
1.0
8.3109 0.0000 0.0000
0.0000 8.3109 0.0000
0.0000 0.0000 3.3689
Na Y Pt
2 4 4
Direct
0.0000 0.0000 0.0000
0.5000 0.5000 0.0000
0.1466 0.3534 0.0000
0.3534 0.8534 0.0000
0.6466 0.1466 0.0000
0.8534 0.6466 0.0000
0.1447 0.6447 0.5000
0.3553 0.1447 0.5000
0.6447 0.8553 0.5000
0.8553 0.3553 0.5000
```

The total magnetic moment comes out at 0.00 μB per formula unit. As for the space-group type: No. 127. For the energy above the most stable polymorph in this dataset, the calculation gives 12.00 kJ/mol of atoms. The energy relative to the elements comes out at -3.90 eV/f.u.

Density functional theory data (PBE) for crystalline MgPAu2 at its relaxed geometry.

The structure in POSCAR format:
```
MgPAu2
1.0
3.5874 0.0000 0.0000
0.0000 3.5874 0.0000
0.0000 0.0000 5.5048
Mg P Au
1 1 2
Direct
0.0000 0.0000 0.0000
0.5000 0.5000 0.2936
0.0000 0.0000 0.4805
0.5000 0.5000 0.7805
```

The total magnetic moment comes out at 0.00 μB per formula unit. As for the space-group type: No. 99. For the energy above the most stable polymorph in this dataset, the calculation gives 5.87 kJ/mol of atoms. The energy relative to the elements comes out at -0.40 eV/f.u.

Density functional theory data (PBE) for crystalline TaSiP2 at its relaxed geometry.

The structure in POSCAR format:
```
TaSiP2
1.0
3.5127 0.0000 0.0000
0.0000 3.5127 0.0000
0.0000 0.0000 5.0983
Ta Si P
1 1 2
Direct
0.0000 0.0000 0.0000
0.5000 0.5000 0.6222
0.0000 0.0000 0.5070
0.5000 0.5000 0.0976
```

The total magnetic moment comes out at 0.00 μB per formula unit. As for the space-group type: No. 99. The energy relative to the elements, uncorrected is -135.8 meV/atom.

Density functional theory data (PBE) for crystalline Pm2NdSm2Dy2 at its relaxed geometry.

The structure in POSCAR format:
```
Pm2NdSm2Dy2
1.0
5.7136 -2.5564 0.0000
5.7136 2.5564 0.0000
-1.1368 0.0000 8.0201
Pm Nd Sm Dy
2 1 2 2
Direct
0.1431 0.1431 0.4291
0.8569 0.8569 0.5709
0.0000 0.0000 0.0000
0.4284 0.4284 0.2841
0.5716 0.5716 0.7159
0.2853 0.2853 0.8581
0.7147 0.7147 0.1419
```

The total magnetic moment comes out at 0.00 μB per formula unit. As for the space-group type: No. 12. The energy relative to the elements comes out at 0.10 eV/f.u.

Density functional theory data (PBE) for crystalline SrLi2GaH at its relaxed geometry.

The structure in POSCAR format:
```
SrLi2GaH
1.0
4.5120 0.0000 0.0000
0.0000 4.5120 0.0000
0.0000 0.0000 4.9680
Sr Li Ga H
1 2 1 1
Direct
0.0000 0.0000 0.0000
0.0000 0.5000 0.5000
0.5000 0.0000 0.5000
0.5000 0.5000 0.0000
0.0000 0.0000 0.5000
```

The total magnetic moment comes out at 0.00 μB per formula unit. As for the space-group type: No. 123. The calculation puts the total energy at -12.8 eV/cell.

Density functional theory data (PBE) for crystalline CrTc3 at its relaxed geometry.

The structure in POSCAR format:
```
CrTc3
1.0
2.7216 0.0000 0.0000
0.0000 3.8127 0.0000
0.0000 0.0000 5.3974
Cr Tc
1 3
Direct
0.0000 0.0000 0.0000
0.0000 0.0000 0.5000
0.5000 0.5000 0.2408
0.5000 0.5000 0.7592
```

The total magnetic moment comes out at 0.00 μB per formula unit. As for the space-group type: No. 47. The energy relative to the elements comes out at 0.55 eV/f.u.

Density functional theory data (PBE) for crystalline BaGaHg2S4 at its relaxed geometry.

The structure in POSCAR format:
```
BaGaHg2S4
1.0
0.0000 5.0874 4.0343
5.0420 0.0000 4.0343
5.0420 5.0874 0.0000
Ba Ga Hg S
1 1 2 4
Direct
0.0000 0.0000 0.0000
0.4951 0.4951 0.5049
0.2190 0.2190 0.2810
0.7190 0.7190 0.7810
0.1514 0.5303 0.4697
0.4675 0.8490 0.5325
0.5303 0.1514 0.8486
0.8490 0.4675 0.1510
```

The total magnetic moment comes out at 0.00 μB per formula unit. As for the space-group type: No. 42. The energy relative to the elements, uncorrected is -750.1 meV/atom.

Density functional theory data (PBE) for crystalline TiTe2S at its relaxed geometry.

The structure in POSCAR format:
```
TiTe2S
1.0
1.9221 1.1097 8.4300
-1.9221 1.1097 8.4300
0.0000 -2.2195 8.4300
Ti Te S
1 2 1
Direct
0.0000 0.0000 0.0000
0.3997 0.3997 0.3997
0.6003 0.6003 0.6003
0.5000 0.5000 0.5000
```

The total magnetic moment comes out at 0.00 μB per formula unit. As for the space-group type: No. 166. The energy relative to the elements, uncorrected is -190.9 meV/atom.

Density functional theory data (PBE) for crystalline CsHfTi2 at its relaxed geometry.

The structure in POSCAR format:
```
CsHfTi2
1.0
0.0000 3.5810 3.5810
3.5810 0.0000 3.5810
3.5810 3.5810 0.0000
Cs Hf Ti
1 1 2
Direct
0.0000 0.0000 0.0000
0.5000 0.5000 0.5000
0.2500 0.2500 0.2500
0.7500 0.7500 0.7500
```

The total magnetic moment comes out at 0.00 μB per formula unit. As for the space-group type: No. 225. For the energy above the most stable polymorph in this dataset, the calculation gives 0.00 kJ/mol of atoms. The energy relative to the elements comes out at 5.29 eV/f.u.

Density functional theory data (PBE) for crystalline Li4Pm2Tl3 at its relaxed geometry.

The structure in POSCAR format:
```
Li4Pm2Tl3
1.0
3.3710 -8.3011 0.0000
3.3710 8.3011 0.0000
0.0000 0.0000 7.3953
Li Pm Tl
8 4 6
Direct
0.1661 0.8339 0.9976
0.1957 0.3043 0.7500
0.3043 0.1957 0.2500
0.3339 0.6661 0.4976
0.6661 0.3339 0.5024
0.6957 0.8043 0.7500
0.8043 0.6957 0.2500
0.8339 0.1661 0.0024
0.1143 0.8857 0.5758
0.3857 0.6143 0.0758
0.6143 0.3857 0.9242
0.8857 0.1143 0.4242
0.0000 0.0000 0.0000
0.0143 0.4857 0.7500
0.4857 0.0143 0.2500
0.5000 0.5000 0.5000
0.5143 0.9857 0.7500
0.9857 0.5143 0.2500
```

The total magnetic moment comes out at 0.00 μB per formula unit. As for the space-group type: No. 64. The energy relative to the elements comes out at -1.76 eV/f.u.

Density functional theory data (PBE) for crystalline NaCa2P3Pt12 at its relaxed geometry.

The structure in POSCAR format:
```
NaCa2P3Pt12
1.0
4.4888 2.5916 4.4848
-4.4888 2.5916 4.4848
0.0000 -5.1832 4.4848
Na Ca P Pt
1 2 3 12
Direct
0.0000 0.0000 0.0000
0.3884 0.3884 0.3884
0.6116 0.6116 0.6116
0.0000 0.0000 0.5000
0.0000 0.5000 0.0000
0.5000 0.0000 0.0000
0.0940 0.6488 0.6488
0.1735 0.1735 0.6568
0.1735 0.6568 0.1735
0.3432 0.8265 0.8265
0.3512 0.3512 0.9060
0.3512 0.9060 0.3512
0.6488 0.0940 0.6488
0.6488 0.6488 0.0940
0.6568 0.1735 0.1735
0.8265 0.3432 0.8265
0.8265 0.8265 0.3432
0.9060 0.3512 0.3512
```

The total magnetic moment comes out at 0.00 μB per formula unit. As for the space-group type: No. 166. The energy relative to the elements comes out at -6.24 eV/f.u.

Density functional theory data (PBE) for crystalline Ac3GeBr2 at its relaxed geometry.

The structure in POSCAR format:
```
Ac3GeBr2
1.0
4.2197 -6.5807 0.0000
4.2197 6.5807 0.0000
-2.3080 0.0000 7.2687
Ac Ge Br
6 2 4
Direct
0.0000 0.5000 0.0000
0.1348 0.2951 0.4880
0.2951 0.1348 0.9880
0.5000 0.0000 0.5000
0.7049 0.8652 0.0120
0.8652 0.7049 0.5120
0.0930 0.9070 0.2500
0.9070 0.0930 0.7500
0.2635 0.7365 0.7500
0.4272 0.5728 0.2500
0.5728 0.4272 0.7500
0.7365 0.2635 0.2500
```

The total magnetic moment comes out at 0.00 μB per formula unit. As for the space-group type: No. 15. The energy relative to the elements, uncorrected is -1127.6 meV/atom.

Density functional theory data (PBE) for crystalline LaZr2BeFe at its relaxed geometry.

The structure in POSCAR format:
```
LaZr2BeFe
1.0
5.1447 0.0000 0.0000
0.0000 5.1447 0.0000
0.0000 0.0000 4.3708
La Zr Be Fe
1 2 1 1
Direct
0.0000 0.0000 0.0000
0.0000 0.5000 0.0000
0.5000 0.0000 0.0000
0.5000 0.5000 0.5000
0.0000 0.0000 0.5000
```

The total magnetic moment comes out at 1.03 μB per formula unit. As for the space-group type: No. 123. The energy relative to the elements comes out at 8.08 eV/f.u.

Density functional theory data (PBE) for crystalline Rb4Ac3ErS8 at its relaxed geometry.

The structure in POSCAR format:
```
Rb4Ac3ErS8
1.0
4.3605 2.5176 7.7339
-4.3605 2.5176 7.7339
0.0000 -5.0351 7.7339
Rb Ac Er S
4 3 1 8
Direct
0.0000 0.0000 0.0000
0.0000 0.5000 0.5000
0.5000 0.0000 0.5000
0.5000 0.5000 0.0000
0.0000 0.0000 0.5000
0.0000 0.5000 0.0000
0.5000 0.0000 0.0000
0.5000 0.5000 0.5000
0.2355 0.2355 0.2355
0.2515 0.7227 0.7227
0.2773 0.2773 0.7485
0.2773 0.7485 0.2773
0.7227 0.2515 0.7227
0.7227 0.7227 0.2515
0.7485 0.2773 0.2773
0.7645 0.7645 0.7645
```

The total magnetic moment comes out at 0.00 μB per formula unit. As for the space-group type: No. 166. The energy relative to the elements, uncorrected is -1851.7 meV/atom.

Density functional theory data (PBE) for crystalline Mn3InAs at its relaxed geometry.

The structure in POSCAR format:
```
Mn3InAs
1.0
4.9934 0.0000 0.0000
0.0000 4.9934 0.0000
0.0000 0.0000 4.9934
Mn In As
3 1 1
Direct
0.0000 0.0000 0.5000
0.0000 0.5000 0.0000
0.5000 0.0000 0.0000
0.0000 0.0000 0.0000
0.5000 0.5000 0.5000
```

The total magnetic moment comes out at 12.58 μB per formula unit. As for the space-group type: No. 221. For the energy above the most stable polymorph in this dataset, the calculation gives 77.47 kJ/mol of atoms. The energy relative to the elements comes out at 6.04 eV/f.u.

Density functional theory data (PBE) for crystalline ReSiSe2 at its relaxed geometry.

The structure in POSCAR format:
```
ReSiSe2
1.0
1.5634 0.9026 8.8652
-1.5634 0.9026 8.8652
0.0000 -1.8053 8.8652
Re Si Se
1 1 2
Direct
0.0000 0.0000 0.0000
0.5000 0.5000 0.5000
0.2651 0.2651 0.2651
0.7349 0.7349 0.7349
```

The total magnetic moment comes out at 0.00 μB per formula unit. As for the space-group type: No. 166. The energy relative to the elements, uncorrected is 364.7 meV/atom.